An optimized crystal structure of BaSi3Pd. Source: Alexandria, functional PBE-GGA.

As for the total magnetization: 0.000 μB per formula unit. For the formation energy (no corrections), the calculation gives -35 kJ per mole of atoms. The volume is 422.45 Å³ per cell.

Unit cell a=8.004 b=6.651 c=8.835 alpha=90.00 beta=116.08 gamma=90.00
Positions (direct):
1 Ba 0.138 0.046 0.217
2 Ba 0.138 0.454 0.717
3 Ba 0.862 0.546 0.283
4 Ba 0.862 0.954 0.783
5 Si 0.157 0.548 0.104
6 Si 0.157 0.952 0.604
7 Si 0.328 0.045 0.927
8 Si 0.328 0.455 0.427
9 Si 0.420 0.156 0.626
10 Si 0.420 0.344 0.126
11 Si 0.580 0.656 0.874
12 Si 0.580 0.844 0.374
13 Si 0.672 0.545 0.573
14 Si 0.672 0.955 0.073
15 Si 0.843 0.048 0.396
16 Si 0.843 0.452 0.896
17 Pd 0.424 0.725 0.080
18 Pd 0.424 0.775 0.580
19 Pd 0.576 0.225 0.420
20 Pd 0.576 0.275 0.920